DFT (PBE-GGA) results for a geometry-optimized PrErLuZr structure.

Cell: 5.4890 5.4890 5.4890 Å, 60.00 60.00 60.00°
Closest atoms and distances in Å follow each position.
Fractional positions:
1 Lu 0.2500 0.2500 0.2500  4 Zr 3.36, 4 Pr 3.36
2 Pr 0.0000 0.0000 0.0000  4 Er 3.36, 4 Lu 3.36
3 Zr 0.5000 0.5000 0.5000  4 Lu 3.36, 4 Er 3.36
4 Er 0.7500 0.7500 0.7500  4 Zr 3.36, 4 Pr 3.36

Output
E_form: 0.20 eV per atom
Energy: -5.398 eV per atom
Symmetry: F-43m